{"formula": "K4Rb2Cl5", "functional": "GGA-PBE", "state": "relaxed", "sg": "R-3m (166)", "e_form_raw_ev_per_atom": -1.6919, "dft_energy_ev_per_atom": -3.1062, "lattice_angstrom": [[4.742, 0.000, 0.481], [2.346, 4.120, 0.481], [-0.090, -0.053, 24.521]], "species": ["Cl", "Cl", "Cl", "Cl", "Cl", "K", "K", "K", "K", "Rb", "Rb"], "frac_coords": [[0.383, 0.383, 0.850], [0.221, 0.221, 0.336], [0.617, 0.617, 0.150], [0.500, 0.500, 0.500], [0.779, 0.779, 0.664], [0.697, 0.697, 0.908], [0.576, 0.576, 0.271], [0.303, 0.303, 0.092], [0.424, 0.424, 0.729], [0.140, 0.140, 0.579], [0.860, 0.860, 0.421]]}